An optimized crystal structure of AlZnB2, computed with PBE-GGA.

Calculated values
E_form   1026 meV per atom
Calculated density   4323 kg/m³
Energy above the lowest structure with this stoichiometry   0 meV/atom
E_tot   -14.27 eV per formula unit

Cell: 5.595 5.595 5.595 Å, 90.00 90.00 90.00°
Space group Fm-3m (No. 225)
Unique sites:
Al 0.000 0.000 0.000 [4 per cell]
Zn 0.000 0.000 0.500 [4 per cell]
B 0.250 0.250 0.250 [8 per cell]